Y2CrBr | PBE | optimized geometry

Lattice parameters (Å, degrees): 4.151 4.151 6.056 90.00 90.00 90.00
Fractional positions:
Y1 0.000 0.000 0.000
Y2 0.500 0.500 0.498
Cr1 0.500 0.500 0.999
Br1 0.000 0.000 0.500

Properties
Energy relative to the elements, uncorrected (eV/atom): -0.092
Size of the total moment (μB per formula unit): 4.02
D(E_F) (states/eV per cell): 2.98
Uncorrected energy (eV/atom): -6.148
V (Å³/atom): 26.08
Offset from the most stable computed form (eV/atom): 0.228

Cr3GaB | PBE | optimized geometry

Lattice parameters (Å, degrees): 4.529 4.529 4.529 90.00 90.00 90.00
Fractional positions:
Cr1 0.000 0.000 0.500
Cr2 0.000 0.500 0.000
Cr3 0.500 0.000 0.000
Ga1 0.000 0.000 0.000
B1 0.500 0.500 0.500

Properties
Size of the total moment (μB per formula unit): 8.91
D(E_F) (states/eV per cell): 6.32
Uncorrected energy (eV/atom): -5.756
V (Å³/atom): 18.58
Offset from the most stable computed form (eV/atom): 1.775

Y5Tl3 | PBE | optimized geometry

Lattice parameters (Å, degrees): 9.052 9.052 6.656 90.00 90.00 120.00
Fractional positions:
Y1 0.000 0.236 0.250
Y2 0.000 0.764 0.750
Y3 0.236 0.000 0.250
Y4 0.236 0.236 0.750
Y5 0.333 0.667 0.000
Y6 0.333 0.667 0.500
Y7 0.667 0.333 0.000
Y8 0.667 0.333 0.500
Y9 0.764 0.000 0.750
Y10 0.764 0.764 0.250
Tl1 0.000 0.403 0.750
Tl2 0.000 0.597 0.250
Tl3 0.403 0.000 0.750
Tl4 0.403 0.403 0.250
Tl5 0.597 0.000 0.250
Tl6 0.597 0.597 0.750

Properties
Size of the total moment (μB per formula unit): 0.00
D(E_F) (states/eV per cell): 22.56
Uncorrected energy (eV/atom): -5.280
V (Å³/atom): 29.52
Offset from the most stable computed form (eV/atom): 0.000

CuSbSe | PBE | optimized geometry

Lattice parameters (Å, degrees): 3.812 3.812 4.955 90.00 90.00 120.00
Fractional positions:
Cu1 0.000 0.000 0.000
Sb1 0.667 0.333 0.313
Se1 0.333 0.667 0.751

Properties
Energy relative to the elements, uncorrected (eV/atom): -0.042
Size of the total moment (μB per formula unit): 0.00
D(E_F) (states/eV per cell): 1.60
Uncorrected energy (eV/atom): -3.943
V (Å³/atom): 20.78

Ni2RuSe | PBE | optimized geometry

Lattice parameters (Å, degrees): 4.335 4.335 4.335 125.65 125.65 80.46
Fractional positions:
Ni1 0.000 0.000 0.000
Ni2 0.750 0.250 0.500
Ru1 0.250 0.750 0.500
Se1 0.500 0.500 0.000

Properties
Energy relative to the elements, uncorrected (eV/atom): 0.227
Size of the total moment (μB per formula unit): 0.00
D(E_F) (states/eV per cell): 4.31
Uncorrected energy (eV/atom): -5.854
V (Å³/atom): 12.97

Hf2NbRh2 | PBE | optimized geometry

Lattice parameters (Å, degrees): 7.502 7.502 3.234 90.00 90.00 90.00
Fractional positions:
Hf1 0.167 0.333 0.000
Hf2 0.333 0.833 0.000
Hf3 0.667 0.167 0.000
Hf4 0.833 0.667 0.000
Nb1 0.000 0.000 0.500
Nb2 0.500 0.500 0.500
Rh1 0.132 0.632 0.500
Rh2 0.368 0.132 0.500
Rh3 0.632 0.868 0.500
Rh4 0.868 0.368 0.500

Properties
Size of the total moment (μB per formula unit): 0.00
D(E_F) (states/eV per cell): 11.42
Uncorrected energy (eV/atom): -9.438
V (Å³/atom): 18.20
Offset from the most stable computed form (eV/atom): 0.000